[1]
! PBE-GGA Te2SeF, relaxed; values from VASP
! **Total moment**: 0.0 μB per formula unit
! **Energy relative to the lowest polymorph listed for this composition**: 0.000 eV per atom
! **Electronic total energy**: -3.24 eV per atom
! **E_form (uncorrected)**: -1.310 eV/f.u.
&SYSTEM
  ibrav = 0, nat = 4, ntyp = 3
/
ATOMIC_SPECIES
Te 127.60 Te.upf
Se 78.96 Se.upf
F 19.00 F.upf
ATOMIC_POSITIONS crystal
Te 0.0878 0.0878 0.0878
Te 0.9122 0.9122 0.9122
Se 0.5000 0.5000 0.5000
F 0.0000 0.0000 0.0000
CELL_PARAMETERS angstrom
2.0992 0.0000 8.7024
-1.0496 1.8179 8.7024
-1.0496 -1.8179 8.7024


[2]
! PBE-GGA Cd2FeSb, relaxed; values from VASP
! **Total moment**: 2.6 μB per formula unit
! **Electronic total energy**: -3.22 eV per atom
! **E_form (uncorrected)**: 1.547 eV/f.u.
&SYSTEM
  ibrav = 0, nat = 4, ntyp = 3
/
ATOMIC_SPECIES
Cd 112.41 Cd.upf
Fe 55.84 Fe.upf
Sb 121.76 Sb.upf
ATOMIC_POSITIONS crystal
Cd 0.9907 0.9907 0.9907
Cd 0.5093 0.5093 0.5093
Fe 0.2500 0.2500 0.2500
Sb 0.7500 0.7500 0.7500
CELL_PARAMETERS angstrom
9.5513 -0.1047 -0.0615
9.0387 3.0885 -0.0615
9.0387 1.4508 2.7273


[3]
! PBE-GGA PmCuTc2O8, relaxed; values from VASP
! **Total moment**: 1.6 μB per formula unit
! **Electronic total energy**: -7.38 eV per atom
! **E_form (uncorrected)**: -19.283 eV/f.u.
&SYSTEM
  ibrav = 0, nat = 12, ntyp = 4
/
ATOMIC_SPECIES
Pm 145.00 Pm.upf
Cu 63.55 Cu.upf
Tc 98.00 Tc.upf
O 16.00 O.upf
ATOMIC_POSITIONS crystal
Pm 0.0000 0.0000 0.0000
Cu 0.7500 0.2500 0.5000
Tc 0.5000 0.5000 0.0000
Tc 0.2500 0.7500 0.5000
O 0.7393 0.8361 0.1656
O 0.4263 0.3294 0.1656
O 0.5787 0.6668 0.6639
O 0.0852 0.9971 0.6639
O 0.0029 0.4213 0.3361
O 0.3332 0.9148 0.3361
O 0.1639 0.5737 0.8344
O 0.6706 0.2607 0.8344
CELL_PARAMETERS angstrom
-4.0184 -0.8884 3.1795
-0.5253 -4.7728 -1.9975
5.8316 0.7941 3.3388